one) ## In3Mo2 (GGA-PBE)

Data for a relaxed structure of In3Mo2.

Structure (CIF):
```
data_In3Mo2
_chemical_formula_sum 'In3 Mo2'
_symmetry_space_group_name_H-M 'P -3 m 1'
_symmetry_Int_Tables_number 164
_symmetry_space_group_name_Hall '-P 3 2"'
_cell_length_a 4.6923
_cell_length_b 4.6923
_cell_length_c 5.6838
_cell_angle_alpha 90.00
_cell_angle_beta 90.00
_cell_angle_gamma 120.00
loop_
_atom_site_label
_atom_site_type_symbol
_atom_site_fract_x
_atom_site_fract_y
_atom_site_fract_z
In1 In 0.0000 0.0000 0.0000
In2 In 0.3333 0.6667 0.3967
Mo1 Mo 0.3333 0.6667 0.9125
```

Results
**Density**: 8.2 g/cm3
**M_tot**: 0.00 Bohr magnetons per cell



two) ## In3Mo2 (GGA-PBE)

Data for a relaxed structure of In3Mo2.

Structure (CIF):
```
data_In3Mo2
_chemical_formula_sum 'In24 Mo16'
_symmetry_space_group_name_H-M 'F d d 2'
_symmetry_Int_Tables_number 43
_symmetry_space_group_name_Hall 'F 2 -2d'
_cell_length_a 10.3391
_cell_length_b 14.7411
_cell_length_c 5.1230
_cell_angle_alpha 90.00
_cell_angle_beta 90.00
_cell_angle_gamma 90.00
loop_
_atom_site_label
_atom_site_type_symbol
_atom_site_fract_x
_atom_site_fract_y
_atom_site_fract_z
In1 In 0.0000 0.0000 0.0000
In2 In 0.0407 0.3979 0.0032
Mo1 Mo 0.0155 0.2905 0.5316
```

Results
**Density**: 9.1 g/cm3
**M_tot**: 0.00 Bohr magnetons per cell



Of them, one) has the highest stability.



one) ## In2Mo3 (GGA-PBE)

Data for a relaxed structure of In2Mo3.

Structure (CIF):
```
data_In2Mo3
_chemical_formula_sum 'In2 Mo3'
_symmetry_space_group_name_H-M 'P -3 m 1'
_symmetry_Int_Tables_number 164
_symmetry_space_group_name_Hall '-P 3 2"'
_cell_length_a 4.5076
_cell_length_b 4.5076
_cell_length_c 5.6254
_cell_angle_alpha 90.00
_cell_angle_beta 90.00
_cell_angle_gamma 120.00
loop_
_atom_site_label
_atom_site_type_symbol
_atom_site_fract_x
_atom_site_fract_y
_atom_site_fract_z
In1 In 0.3333 0.6667 0.3270
Mo1 Mo 0.0000 0.0000 0.5000
Mo2 Mo 0.3333 0.6667 0.8444
```

Results
**Density**: 8.7 g/cm3
**M_tot**: 0.03 Bohr magnetons per cell



two) ## In2Mo3 (GGA-PBE)

Data for a relaxed structure of In2Mo3.

Structure (CIF):
```
data_In2Mo3
_chemical_formula_sum 'In6 Mo9'
_symmetry_space_group_name_H-M 'R -3 m'
_symmetry_Int_Tables_number 166
_symmetry_space_group_name_Hall '-R 3 2"'
_cell_length_a 3.0603
_cell_length_b 3.0603
_cell_length_c 34.3028
_cell_angle_alpha 90.00
_cell_angle_beta 90.00
_cell_angle_gamma 120.00
loop_
_atom_site_label
_atom_site_type_symbol
_atom_site_fract_x
_atom_site_fract_y
_atom_site_fract_z
In1 In 0.0000 0.0000 0.0983
Mo1 Mo 0.0000 0.0000 0.3067
Mo2 Mo 0.0000 0.0000 0.5000
```

Results
**Density**: 9.3 g/cm3
**M_tot**: 0.00 Bohr magnetons per cell



Of them, two) has the highest stability.



one) ## InMo3N (GGA-PBE)

Data for a relaxed structure of InMo3N.

Structure (CIF):
```
data_InMo3N
_chemical_formula_sum 'In1 Mo3 N1'
_symmetry_space_group_name_H-M 'P m -3 m'
_symmetry_Int_Tables_number 221
_symmetry_space_group_name_Hall '-P 4 2 3'
_cell_length_a 4.1923
_cell_length_b 4.1923
_cell_length_c 4.1923
_cell_angle_alpha 90.00
_cell_angle_beta 90.00
_cell_angle_gamma 90.00
loop_
_atom_site_label
_atom_site_type_symbol
_atom_site_fract_x
_atom_site_fract_y
_atom_site_fract_z
In1 In 0.0000 0.0000 0.0000
Mo1 Mo 0.0000 0.5000 0.5000
N1 N 0.5000 0.5000 0.5000
```

Results
**Density**: 9.4 g/cm3
**M_tot**: 0.00 Bohr magnetons per cell



two) ## InMo3N (GGA-PBE)

Data for a relaxed structure of InMo3N.

Structure (CIF):
```
data_InMo3N
_chemical_formula_sum 'In1 Mo3 N1'
_symmetry_space_group_name_H-M 'P m -3 m'
_symmetry_Int_Tables_number 221
_symmetry_space_group_name_Hall '-P 4 2 3'
_cell_length_a 4.8922
_cell_length_b 4.8922
_cell_length_c 4.8922
_cell_angle_alpha 90.00
_cell_angle_beta 90.00
_cell_angle_gamma 90.00
loop_
_atom_site_label
_atom_site_type_symbol
_atom_site_fract_x
_atom_site_fract_y
_atom_site_fract_z
In1 In 0.0000 0.0000 0.0000
Mo1 Mo 0.0000 0.0000 0.5000
N1 N 0.5000 0.5000 0.5000
```

Results
**Density**: 5.9 g/cm3
**M_tot**: 0.00 Bohr magnetons per cell



Of them, one) has the highest stability.



one) ## InMoSN2 (GGA-PBE)

Data for a relaxed structure of InMoSN2.

Structure (CIF):
```
data_InMoSN2
_chemical_formula_sum 'In1 Mo1 S1 N2'
_symmetry_space_group_name_H-M 'P 4/m m m'
_symmetry_Int_Tables_number 123
_symmetry_space_group_name_Hall '-P 4 2'
_cell_length_a 4.1560
_cell_length_b 4.1560
_cell_length_c 5.1878
_cell_angle_alpha 90.00
_cell_angle_beta 90.00
_cell_angle_gamma 90.00
loop_
_atom_site_label
_atom_site_type_symbol
_atom_site_fract_x
_atom_site_fract_y
_atom_site_fract_z
In1 In 0.0000 0.0000 0.0000
Mo1 Mo 0.5000 0.5000 0.5000
S1 S 0.0000 0.0000 0.5000
N1 N 0.0000 0.5000 0.0000
```

Results
**Density**: 5.0 g/cm3
**M_tot**: 1.08 Bohr magnetons per cell



two) ## InMoSN2 (GGA-PBE)

Data for a relaxed structure of InMoSN2.

Structure (CIF):
```
data_InMoSN2
_chemical_formula_sum 'In1 Mo1 S1 N2'
_symmetry_space_group_name_H-M 'P 4/m m m'
_symmetry_Int_Tables_number 123
_symmetry_space_group_name_Hall '-P 4 2'
_cell_length_a 3.9426
_cell_length_b 3.9426
_cell_length_c 5.0866
_cell_angle_alpha 90.00
_cell_angle_beta 90.00
_cell_angle_gamma 90.00
loop_
_atom_site_label
_atom_site_type_symbol
_atom_site_fract_x
_atom_site_fract_y
_atom_site_fract_z
In1 In 0.0000 0.0000 0.0000
Mo1 Mo 0.5000 0.5000 0.5000
S1 S 0.5000 0.5000 0.0000
N1 N 0.0000 0.5000 0.5000
```

Results
**Density**: 5.7 g/cm3
**M_tot**: 0.00 Bohr magnetons per cell



Of them, two) has the highest stability.



one) ## InMoSeN2 (GGA-PBE)

Data for a relaxed structure of InMoSeN2.

Structure (CIF):
```
data_InMoSeN2
_chemical_formula_sum 'In1 Mo1 Se1 N2'
_symmetry_space_group_name_H-M 'P 4/m m m'
_symmetry_Int_Tables_number 123
_symmetry_space_group_name_Hall '-P 4 2'
_cell_length_a 3.9791
_cell_length_b 3.9791
_cell_length_c 5.3413
_cell_angle_alpha 90.00
_cell_angle_beta 90.00
_cell_angle_gamma 90.00
loop_
_atom_site_label
_atom_site_type_symbol
_atom_site_fract_x
_atom_site_fract_y
_atom_site_fract_z
In1 In 0.0000 0.0000 0.0000
Mo1 Mo 0.5000 0.5000 0.5000
Se1 Se 0.5000 0.5000 0.0000
N1 N 0.0000 0.5000 0.5000
```

Results
**Density**: 6.2 g/cm3
**M_tot**: 0.00 Bohr magnetons per cell



two) ## InMoSeN2 (GGA-PBE)

Data for a relaxed structure of InMoSeN2.

Structure (CIF):
```
data_InMoSeN2
_chemical_formula_sum 'In1 Mo1 Se1 N2'
_symmetry_space_group_name_H-M 'P 4/m m m'
_symmetry_Int_Tables_number 123
_symmetry_space_group_name_Hall '-P 4 2'
_cell_length_a 4.2232
_cell_length_b 4.2232
_cell_length_c 5.5535
_cell_angle_alpha 90.00
_cell_angle_beta 90.00
_cell_angle_gamma 90.00
loop_
_atom_site_label
_atom_site_type_symbol
_atom_site_fract_x
_atom_site_fract_y
_atom_site_fract_z
In1 In 0.0000 0.0000 0.0000
Mo1 Mo 0.5000 0.5000 0.5000
Se1 Se 0.0000 0.0000 0.5000
N1 N 0.0000 0.5000 0.0000
```

Results
**Density**: 5.3 g/cm3
**M_tot**: 6.53 Bohr magnetons per cell



Of them, one) has the highest stability.



one) ## NaIn2Mo2 (GGA-PBE)

Data for a relaxed structure of NaIn2Mo2.

Structure (CIF):
```
data_NaIn2Mo2
_chemical_formula_sum 'Na2 In4 Mo4'
_symmetry_space_group_name_H-M 'P 4/m b m'
_symmetry_Int_Tables_number 127
_symmetry_space_group_name_Hall '-P 4 2ab'
_cell_length_a 8.5112
_cell_length_b 8.5112
_cell_length_c 2.9033
_cell_angle_alpha 90.00
_cell_angle_beta 90.00
_cell_angle_gamma 90.00
loop_
_atom_site_label
_atom_site_type_symbol
_atom_site_fract_x
_atom_site_fract_y
_atom_site_fract_z
Na1 Na 0.0000 0.0000 0.0000
In1 In 0.1890 0.3110 0.5000
Mo1 Mo 0.1014 0.6014 0.0000
```

Results
**Density**: 7.0 g/cm3
**M_tot**: 0.00 Bohr magnetons per cell



two) ## NaIn2Mo2 (GGA-PBE)

Data for a relaxed structure of NaIn2Mo2.

Structure (CIF):
```
data_NaIn2Mo2
_chemical_formula_sum 'Na2 In4 Mo4'
_symmetry_space_group_name_H-M 'I 4/m m m'
_symmetry_Int_Tables_number 139
_symmetry_space_group_name_Hall '-I 4 2'
_cell_length_a 5.3422
_cell_length_b 5.3422
_cell_length_c 8.0563
_cell_angle_alpha 90.00
_cell_angle_beta 90.00
_cell_angle_gamma 90.00
loop_
_atom_site_label
_atom_site_type_symbol
_atom_site_fract_x
_atom_site_fract_y
_atom_site_fract_z
Na1 Na 0.0000 0.0000 0.0000
In1 In 0.0000 0.5000 0.2500
Mo1 Mo 0.0000 0.0000 0.3622
```

Results
**Density**: 6.4 g/cm3
**M_tot**: 0.00 Bohr magnetons per cell



Of them, one) has the highest stability.



one) ## NaInMo3 (GGA-PBE)

Data for a relaxed structure of NaInMo3.

Structure (CIF):
```
data_NaInMo3
_chemical_formula_sum 'Na1 In1 Mo3'
_symmetry_space_group_name_H-M 'P m -3 m'
_symmetry_Int_Tables_number 221
_symmetry_space_group_name_Hall '-P 4 2 3'
_cell_length_a 5.0037
_cell_length_b 5.0037
_cell_length_c 5.0037
_cell_angle_alpha 90.00
_cell_angle_beta 90.00
_cell_angle_gamma 90.00
loop_
_atom_site_label
_atom_site_type_symbol
_atom_site_fract_x
_atom_site_fract_y
_atom_site_fract_z
Na1 Na 0.0000 0.0000 0.0000
In1 In 0.5000 0.5000 0.5000
Mo1 Mo 0.0000 0.5000 0.5000
```

Results
**Density**: 5.6 g/cm3
**M_tot**: 0.00 Bohr magnetons per cell



two) ## NaInMo3 (GGA-PBE)

Data for a relaxed structure of NaInMo3.

Structure (CIF):
```
data_NaInMo3
_chemical_formula_sum 'Na1 In1 Mo3'
_symmetry_space_group_name_H-M 'P m -3 m'
_symmetry_Int_Tables_number 221
_symmetry_space_group_name_Hall '-P 4 2 3'
_cell_length_a 4.5933
_cell_length_b 4.5933
_cell_length_c 4.5933
_cell_angle_alpha 90.00
_cell_angle_beta 90.00
_cell_angle_gamma 90.00
loop_
_atom_site_label
_atom_site_type_symbol
_atom_site_fract_x
_atom_site_fract_y
_atom_site_fract_z
Na1 Na 0.0000 0.0000 0.0000
In1 In 0.5000 0.5000 0.5000
Mo1 Mo 0.0000 0.0000 0.5000
```

Results
**Density**: 7.3 g/cm3
**M_tot**: 1.99 Bohr magnetons per cell



Of them, two) has the highest stability.